1.
This record from Alexandria describes an optimized crystal structure of Sc4Hg5Au2. The functional is PBE.

Cell: 7.562 3.340 9.554 Å, 90.00 95.54 90.00°
Space group P2/m (No. 10)
One atom of each set of equivalent atoms:
Sc (0.182, 0.000, 0.370)
Sc (0.230, 0.000, 0.931)
Hg (0.162, 0.500, 0.640)
Hg (0.469, 0.500, 0.172)
Hg (0.500, 0.500, 0.500)
Au (0.081, 0.500, 0.139)

Properties
DFT total energy in hartree per atom: -0.1278



2.
This record from Alexandria describes an optimized crystal structure of Sc2HgAu. The functional is PBE.

Cell: 8.489 3.515 6.246 Å, 90.00 103.56 90.00°
Space group C2/m (No. 12)
One atom of each set of equivalent atoms:
Sc (0.244, 0.000, 0.233)
Hg (0.000, 0.000, 0.500)
Au (0.000, 0.500, 0.000)

Properties
DFT total energy in hartree per atom: -0.1649



3.
This record from Alexandria describes an optimized crystal structure of Sc5HgAu4. The functional is PBE.

Cell: 3.409 3.409 17.339 Å, 90.00 90.00 90.00°
Space group P4/mmm (No. 123)
One atom of each set of equivalent atoms:
Sc (0.000, 0.000, 0.000)
Sc (0.000, 0.000, 0.197)
Sc (0.000, 0.000, 0.392)
Hg (0.500, 0.500, 0.500)
Au (0.500, 0.500, 0.098)
Au (0.500, 0.500, 0.296)

Properties
DFT total energy in hartree per atom: -0.1924



4.
This record from Alexandria describes an optimized crystal structure of Sc4HgAu2. The functional is PBE.

Cell: 4.7891 4.7891 23.3802 Å, 90.00 90.00 120.00°
Space group R-3m (No. 166, hexagonal axes)
One atom of each set of equivalent atoms:
Sc (0.0000, 0.0000, 0.1174)
Sc (0.0000, 0.0000, 0.3707)
Hg (0.0000, 0.0000, 0.5000)
Au (0.0000, 0.0000, 0.2513)

Properties
Energy relative to the lowest polymorph listed for this composition in eV per formula unit: 0.00



5.
This record from Alexandria describes an optimized crystal structure of ScHgAu. The functional is PBE.

Cell: 4.8798 4.8798 5.9645 Å, 90.00 90.00 120.00°
Space group P6_3/mmc (No. 194)
One atom of each set of equivalent atoms:
Sc (0.3333, 0.6667, 0.2500)
Hg (0.0000, 0.0000, 0.0000)
Au (0.3333, 0.6667, 0.7500)

Properties
DFT total energy in hartree per atom: -0.1414



6.
This record from Alexandria describes an optimized crystal structure of Sc5HgAu. The functional is PBE.

Cell: 8.249 8.479 9.437 Å, 90.00 91.05 90.00°
Space group C2/c (No. 15)
One atom of each set of equivalent atoms:
Sc (0.000, 0.151, 0.250)
Sc (0.168, 0.401, 0.503)
Sc (0.171, 0.207, 0.831)
Hg (0.000, 0.495, 0.250)
Au (0.000, 0.000, 0.000)

Properties
DFT total energy in hartree per atom: -0.1930



7.
This record from Alexandria describes an optimized crystal structure of Sc3Hg3Au2. The functional is PBE.

Cell: 7.5933 7.5933 3.3847 Å, 90.00 90.00 120.00°
Space group P-62m (No. 189)
One atom of each set of equivalent atoms:
Sc (0.0000, 0.5909, 0.0000)
Hg (0.0000, 0.2326, 0.5000)
Au (0.3333, 0.6667, 0.5000)

Properties
DFT total energy in hartree per atom: -0.1412



8.
This record from Alexandria describes an optimized crystal structure of ScHg2Au. The functional is PBE.

Cell: 7.939 7.939 5.912 Å, 90.00 90.00 90.00°
Space group I-42d (No. 122)
One atom of each set of equivalent atoms:
Sc (0.000, 0.000, 0.000)
Hg (0.242, 0.250, 0.625)
Au (0.000, 0.000, 0.500)

Properties
DFT total energy in hartree per atom: -0.0979